Here is a relaxed CaTlPb2 crystal from the Alexandria database. Energies are from PBEsol. Values from VASP.

Calculated values
DOS(E_F) ... 2.040 states/eV per cell
Formation enthalpy at 0 K ... -102 kJ/mol of formula units
ρ ... 9.555 g cm⁻³

The structure in Quantum ESPRESSO input format:
```
&SYSTEM
  ibrav = 0, nat = 4, ntyp = 3
/
ATOMIC_SPECIES
Ca 40.08 Ca.upf
Tl 204.38 Tl.upf
Pb 207.20 Pb.upf
CELL_PARAMETERS angstrom
5.718 -1.849 0.000
5.718 1.849 0.000
-1.491 0.000 5.414
ATOMIC_POSITIONS crystal
Ca 0.000 0.000 0.000
Tl 0.251 0.251 0.760
Pb 0.507 0.507 0.505
Pb 0.757 0.757 0.272
```

---

Here is a relaxed CaTlPb2 crystal from the Alexandria database. Energies are from PBEsol. Values from VASP.

Calculated values
DOS(E_F) ... 1.968 states/eV per cell
Formation enthalpy at 0 K ... -107 kJ/mol of formula units
ρ ... 9.583 g cm⁻³

The structure in Quantum ESPRESSO input format:
```
&SYSTEM
  ibrav = 0, nat = 4, ntyp = 3
/
ATOMIC_SPECIES
Ca 40.08 Ca.upf
Tl 204.38 Tl.upf
Pb 207.20 Pb.upf
CELL_PARAMETERS angstrom
3.669 0.000 0.000
0.000 5.532 0.000
0.000 0.000 5.625
ATOMIC_POSITIONS crystal
Ca 0.000 0.000 0.000
Tl 0.000 0.500 0.621
Pb 0.500 0.000 0.497
Pb 0.500 0.500 0.126
```

---

Here is a relaxed CaTlPb2 crystal from the Alexandria database. Energies are from PBEsol. Values from VASP.

Calculated values
DOS(E_F) ... 1.842 states/eV per cell
Formation enthalpy at 0 K ... -101 kJ/mol of formula units
ρ ... 9.529 g cm⁻³

The structure in Quantum ESPRESSO input format:
```
&SYSTEM
  ibrav = 0, nat = 4, ntyp = 3
/
ATOMIC_SPECIES
Ca 40.08 Ca.upf
Tl 204.38 Tl.upf
Pb 207.20 Pb.upf
CELL_PARAMETERS angstrom
3.586 0.000 0.000
0.000 4.789 0.000
0.000 0.000 6.686
ATOMIC_POSITIONS crystal
Ca 0.000 0.000 0.000
Tl 0.000 0.000 0.500
Pb 0.500 0.500 0.246
Pb 0.500 0.500 0.754
```

---

Here is a relaxed CaTlPb2 crystal from the Alexandria database. Energies are from PBEsol. Values from VASP.

Calculated values
DOS(E_F) ... 2.305 states/eV per cell
Formation enthalpy at 0 K ... -95 kJ/mol of formula units
ρ ... 9.539 g cm⁻³

The structure in Quantum ESPRESSO input format:
```
&SYSTEM
  ibrav = 0, nat = 4, ntyp = 3
/
ATOMIC_SPECIES
Ca 40.08 Ca.upf
Tl 204.38 Tl.upf
Pb 207.20 Pb.upf
CELL_PARAMETERS angstrom
4.053 0.000 0.000
0.000 4.053 0.000
0.000 0.000 6.981
ATOMIC_POSITIONS crystal
Ca 0.000 0.000 0.000
Tl 0.500 0.500 0.744
Pb 0.000 0.000 0.503
Pb 0.500 0.500 0.268
```